Below is a relaxed structure of In4AgSe, with properties calculated at the PBE-GGA level.

Cell: 6.121 6.121 6.121 Å, 60.00 60.00 60.00°
Sites, in units of the cell vectors:
In  0.876  0.375  0.375
Ag  0.000  0.000  0.000
In  0.375  0.375  0.375
In  0.375  0.876  0.375
Se  0.750  0.750  0.750
In  0.375  0.375  0.876

Summary:
The density of states at the Fermi level is 2.16 states/eV/cell. The density is 6.6 Mg/m³. The spin magnetization comes out at 0.0000 μB per atom. As for the raw total energy: -2.6472 eV per atom. For the formation energy without anion corrections, the calculation gives 234 meV per atom. Its space group is No. 216.